1.
The following is a DFT calculation (PBEsol) of a relaxed Sr2In2Sn crystal.

Its energy relative to the elements is 0.01 eV per formula unit. The value obtained for the volume is 35.107 Å³/atom. As for the crystal system: tetragonal.

It has space group I4/mmm (No. 139), with a = 5.144 Å, b = 5.144 Å, c = 13.268 Å, α = 90.00°, β = 90.00° and γ = 90.00°. Symmetry generates all atoms from Sr at (0.000, 0.500, 0.250), In at (0.000, 0.000, 0.098) and Sn at (0.000, 0.000, 0.500).

=====

2.
The following is a DFT calculation (PBEsol) of a relaxed LaMoSe2Br crystal.

The calculation puts the uncorrected formation energy at 0.281 eV per atom. The value obtained for the volume is 35.935 Å³/atom. As for the crystal system: tetragonal.

It has space group P4/mmm (No. 123), with a = 5.673 Å, b = 5.673 Å, c = 5.583 Å, α = 90.00°, β = 90.00° and γ = 90.00°. Symmetry generates all atoms from La at (0.000, 0.000, 0.000), Mo at (0.500, 0.500, 0.500), Se at (0.000, 0.500, 0.000) and Br at (0.000, 0.000, 0.500).

=====

3.
The following is a DFT calculation (PBEsol) of a relaxed InCo2Ru crystal.

Its energy relative to the elements is 1.18 eV per formula unit. The value obtained for the volume is 13.596 Å³/atom. As for the crystal system: monoclinic.

It has space group C2/m (No. 12), with a = 8.475 Å, b = 2.790 Å, c = 4.694 Å, α = 90.00°, β = 101.42° and γ = 90.00°. Symmetry generates all atoms from In at (0.000, 0.000, 0.000), Co at (0.242, 0.000, 0.707) and Ru at (0.000, 0.500, 0.500).

=====

4.
The following is a DFT calculation (PBEsol) of a relaxed Zn2Se crystal.

The calculation puts the uncorrected formation energy at -0.138 eV per atom. The value obtained for the volume is 18.094 Å³/atom. As for the crystal system: trigonal. For the distance to the lowest polymorph of the same formula, the calculation gives 0 meV/atom.

It has space group P-3m1 (No. 164), with a = 3.6575 Å, b = 3.6575 Å, c = 4.6856 Å, α = 90.00°, β = 90.00° and γ = 120.00°. Symmetry generates all atoms from Zn at (0.3333, 0.6667, 0.3230) and Se at (0.0000, 0.0000, 0.0000).

=====

5.
The following is a DFT calculation (PBEsol) of a relaxed Sr2HfGeI crystal.

The calculation puts the uncorrected formation energy at 0.169 eV per atom. The value obtained for the volume is 40.059 Å³/atom. As for the crystal system: tetragonal.

It has space group P4/mmm (No. 123), with a = 6.360 Å, b = 6.360 Å, c = 4.952 Å, α = 90.00°, β = 90.00° and γ = 90.00°. Symmetry generates all atoms from Sr at (0.000, 0.500, 0.000), Hf at (0.000, 0.000, 0.000), Ge at (0.000, 0.000, 0.500) and I at (0.500, 0.500, 0.500).

=====

6.
The following is a DFT calculation (PBEsol) of a relaxed KScSeBr2 crystal.

The calculation puts the uncorrected formation energy at -1.566 eV per atom. The value obtained for the volume is 29.273 Å³/atom. As for the crystal system: tetragonal. For the distance to the lowest polymorph of the same formula, the calculation gives 0 meV/atom.

It has space group P4/mmm (No. 123), with a = 5.355 Å, b = 5.355 Å, c = 5.104 Å, α = 90.00°, β = 90.00° and γ = 90.00°. Symmetry generates all atoms from K at (0.000, 0.000, 0.000), Sc at (0.500, 0.500, 0.500), Se at (0.500, 0.500, 0.000) and Br at (0.000, 0.500, 0.500).

=====

7.
The following is a DFT calculation (PBEsol) of a relaxed Ag2HgIr crystal.

Its energy relative to the elements is 1.46 eV per formula unit. The value obtained for the volume is 16.656 Å³/atom. As for the crystal system: orthorhombic.

It has space group Imm2 (No. 44), with a = 2.978 Å, b = 4.741 Å, c = 9.436 Å, α = 90.00°, β = 90.00° and γ = 90.00°. Symmetry generates all atoms from Ag at (0.000, 0.000, 0.000), Ag at (0.000, 0.500, 0.249), Hg at (0.000, 0.500, 0.754) and Ir at (0.000, 0.000, 0.502).

=====

8.
The following is a DFT calculation (PBEsol) of a relaxed AlTc5 crystal.

Its energy relative to the elements is -0.66 eV per formula unit. The value obtained for the volume is 13.940 Å³/atom. As for the crystal system: hexagonal. For the distance to the lowest polymorph of the same formula, the calculation gives 0 meV/atom.

It has space group P-62m (No. 189), with a = 4.6571 Å, b = 4.6571 Å, c = 4.4531 Å, α = 90.00°, β = 90.00° and γ = 120.00°. Symmetry generates all atoms from Al at (0.0000, 0.0000, 0.0000), Tc at (0.0000, 0.3213, 0.5000) and Tc at (0.3333, 0.6667, 0.0000).

=====

9.
The following is a DFT calculation (PBEsol) of a relaxed UBr3 crystal.

The calculation puts the uncorrected formation energy at -1.125 eV per atom. The value obtained for the volume is 28.066 Å³/atom. As for the crystal system: hexagonal.

It has space group P6_3/m (No. 176), with a = 8.0098 Å, b = 8.0098 Å, c = 4.0411 Å, α = 90.00°, β = 90.00° and γ = 120.00°. Symmetry generates all atoms from U at (0.3333, 0.6667, 0.2500) and Br at (0.0840, 0.3829, 0.7500).

=====

10.
The following is a DFT calculation (PBEsol) of a relaxed ZnPbW crystal.

Its energy relative to the elements is 4.03 eV per formula unit. The value obtained for the volume is 20.281 Å³/atom. As for the crystal system: cubic. For the distance to the lowest polymorph of the same formula, the calculation gives 610 meV/atom.

It has space group F-43m (No. 216), with a = 6.243 Å, b = 6.243 Å, c = 6.243 Å, α = 90.00°, β = 90.00° and γ = 90.00°. Symmetry generates all atoms from Zn at (0.000, 0.000, 0.000), Pb at (0.250, 0.250, 0.750) and W at (0.250, 0.250, 0.250).

=====

11.
The following is a DFT calculation (PBEsol) of a relaxed ZrMo2W crystal.

Its energy relative to the elements is -0.11 eV per formula unit. The value obtained for the volume is 16.418 Å³/atom. As for the crystal system: cubic. For the distance to the lowest polymorph of the same formula, the calculation gives 0 meV/atom.

It has space group Fm-3m (No. 225), with a = 6.404 Å, b = 6.404 Å, c = 6.404 Å, α = 90.00°, β = 90.00° and γ = 90.00°. Symmetry generates all atoms from Zr at (0.000, 0.000, 0.000), Mo at (0.250, 0.250, 0.250) and W at (0.000, 0.000, 0.500).

=====

12.
The following is a DFT calculation (PBEsol) of a relaxed PRhS2 crystal.

The calculation puts the uncorrected formation energy at 0.159 eV per atom. The value obtained for the volume is 15.889 Å³/atom. As for the crystal system: trigonal.

It has space group R-3m (No. 166, hexagonal axes), with a = 3.2171 Å, b = 3.2171 Å, c = 21.2729 Å, α = 90.00°, β = 90.00° and γ = 120.00°. Symmetry generates all atoms from P at (0.0000, 0.0000, 0.0000), Rh at (0.0000, 0.0000, 0.5000) and S at (0.0000, 0.0000, 0.3977).

=====

13.
The following is a DFT calculation (PBEsol) of a relaxed CdHg2Te crystal.

The calculation puts the uncorrected formation energy at 0.044 eV per atom. The value obtained for the volume is 26.060 Å³/atom. As for the crystal system: monoclinic. For the distance to the lowest polymorph of the same formula, the calculation gives 0 meV/atom.

It has space group C2/m (No. 12), with a = 5.814 Å, b = 11.916 Å, c = 3.009 Å, α = 90.00°, β = 90.07° and γ = 90.00°. Symmetry generates all atoms from Cd at (0.000, 0.000, 0.000), Hg at (0.250, 0.250, 0.500) and Te at (0.000, 0.500, 0.000).

=====

14.
The following is a DFT calculation (PBEsol) of a relaxed Ca2CdW crystal.

Its energy relative to the elements is 2.51 eV per formula unit. The value obtained for the volume is 22.369 Å³/atom. As for the crystal system: orthorhombic.

It has space group Pmm2 (No. 25), with a = 2.901 Å, b = 5.212 Å, c = 5.918 Å, α = 90.00°, β = 90.00° and γ = 90.00°. Symmetry generates all atoms from Ca at (0.000, 0.000, 0.000), Ca at (0.000, 0.500, 0.330), Cd at (0.500, 0.000, 0.537) and W at (0.500, 0.500, 0.813).